# TbNbAg2Te4 (PBE, optimized geometry)
# SG ... Cmm2
# Crystal system ... orthorhombic
# DFT total energy ... -4.594 eV per atom
data_TbNbAg2Te4
_chemical_formula_sum 'Tb1 Nb1 Ag2 Te4'
_space_group_name_H-M_alt 'P 1'
_space_group_IT_number 1
_cell_length_a 6.904
_cell_length_b 6.904
_cell_length_c 4.625
_cell_angle_alpha 90.00
_cell_angle_beta 90.00
_cell_angle_gamma 90.13
loop_
_space_group_symop_operation_xyz
'x,y,z'
loop_
_atom_site_label
_atom_site_type_symbol
_atom_site_fract_x
_atom_site_fract_y
_atom_site_fract_z
_atom_site_occupancy
Tb1 Tb 0.000 0.000 0.000 1
Nb1 Nb 0.500 0.500 0.400 1
Ag1 Ag 0.000 0.500 0.190 1
Ag2 Ag 0.500 0.000 0.190 1
Te1 Te 0.210 0.790 0.496 1
Te2 Te 0.314 0.314 0.907 1
Te3 Te 0.686 0.686 0.907 1
Te4 Te 0.790 0.210 0.496 1

***

# NbTcAg (PBE, optimized geometry)
# Energy of formation ... 908 meV per atom
# SG ... F-43m
# Crystal system ... cubic
# DFT total energy ... -6.852 eV per atom
data_NbTcAg
_chemical_formula_sum 'Nb1 Tc1 Ag1'
_space_group_name_H-M_alt 'P 1'
_space_group_IT_number 1
_cell_length_a 4.373
_cell_length_b 4.373
_cell_length_c 4.373
_cell_angle_alpha 60.00
_cell_angle_beta 60.00
_cell_angle_gamma 60.00
loop_
_space_group_symop_operation_xyz
'x,y,z'
loop_
_atom_site_label
_atom_site_type_symbol
_atom_site_fract_x
_atom_site_fract_y
_atom_site_fract_z
_atom_site_occupancy
Nb1 Nb 0.000 0.000 0.000 1
Tc1 Tc 0.750 0.750 0.750 1
Ag1 Ag 0.500 0.500 0.500 1

***

# NbAg2Te2 (PBE, optimized geometry)
# SG ... I4/mmm
# Crystal system ... tetragonal
# DFT total energy ... -4.225 eV per atom
data_NbAg2Te2
_chemical_formula_sum 'Nb1 Ag2 Te2'
_space_group_name_H-M_alt 'P 1'
_space_group_IT_number 1
_cell_length_a 8.333
_cell_length_b 8.333
_cell_length_c 8.333
_cell_angle_alpha 154.31
_cell_angle_beta 154.31
_cell_angle_gamma 36.65
loop_
_space_group_symop_operation_xyz
'x,y,z'
loop_
_atom_site_label
_atom_site_type_symbol
_atom_site_fract_x
_atom_site_fract_y
_atom_site_fract_z
_atom_site_occupancy
Nb1 Nb 0.000 0.000 0.000 1
Ag1 Ag 0.250 0.750 0.500 1
Ag2 Ag 0.750 0.250 0.500 1
Te1 Te 0.403 0.403 0.000 1
Te2 Te 0.597 0.597 0.000 1

***

# NbAgTe (PBE, optimized geometry)
# SG ... F-43m
# Crystal system ... cubic
# DFT total energy ... -4.841 eV per atom
data_NbAgTe
_chemical_formula_sum 'Nb1 Ag1 Te1'
_space_group_name_H-M_alt 'P 1'
_space_group_IT_number 1
_cell_length_a 4.599
_cell_length_b 4.599
_cell_length_c 4.599
_cell_angle_alpha 60.00
_cell_angle_beta 60.00
_cell_angle_gamma 60.00
loop_
_space_group_symop_operation_xyz
'x,y,z'
loop_
_atom_site_label
_atom_site_type_symbol
_atom_site_fract_x
_atom_site_fract_y
_atom_site_fract_z
_atom_site_occupancy
Nb1 Nb 0.000 0.000 0.000 1
Ag1 Ag 0.500 0.500 0.500 1
Te1 Te 0.750 0.750 0.750 1

***

# Nb2AgTe2 (PBE, optimized geometry)
# SG ... I4/mmm
# Crystal system ... tetragonal
# DFT total energy ... -5.612 eV per atom
data_Nb2AgTe2
_chemical_formula_sum 'Nb2 Ag1 Te2'
_space_group_name_H-M_alt 'P 1'
_space_group_IT_number 1
_cell_length_a 5.686
_cell_length_b 5.686
_cell_length_c 5.686
_cell_angle_alpha 124.16
_cell_angle_beta 124.16
_cell_angle_gamma 82.93
loop_
_space_group_symop_operation_xyz
'x,y,z'
loop_
_atom_site_label
_atom_site_type_symbol
_atom_site_fract_x
_atom_site_fract_y
_atom_site_fract_z
_atom_site_occupancy
Nb1 Nb 0.136 0.136 0.000 1
Nb2 Nb 0.864 0.864 0.000 1
Ag1 Ag 0.500 0.500 0.000 1
Te1 Te 0.250 0.750 0.500 1
Te2 Te 0.750 0.250 0.500 1

***

# NbAgTe (PBE, optimized geometry)
# SG ... F-43m
# Crystal system ... cubic
# DFT total energy ... -5.021 eV per atom
data_NbAgTe
_chemical_formula_sum 'Nb1 Ag1 Te1'
_space_group_name_H-M_alt 'P 1'
_space_group_IT_number 1
_cell_length_a 4.652
_cell_length_b 4.652
_cell_length_c 4.652
_cell_angle_alpha 60.00
_cell_angle_beta 60.00
_cell_angle_gamma 60.00
loop_
_space_group_symop_operation_xyz
'x,y,z'
loop_
_atom_site_label
_atom_site_type_symbol
_atom_site_fract_x
_atom_site_fract_y
_atom_site_fract_z
_atom_site_occupancy
Nb1 Nb 0.000 0.000 0.000 1
Ag1 Ag 0.250 0.250 0.250 1
Te1 Te 0.750 0.750 0.750 1